Compound: CuBiW2O8
Source: the Alexandria database
Functional: PBE with a Hubbard U
Structure: relaxed

Calculated values
total DFT energy (no corrections): -6.793 eV/atom

Cell lengths 5.1642, 6.1065, 6.2531 Å; angles 108.64, 91.90, 113.36 degrees
Space group P-1 (No. 2)
Inequivalent atoms, fractional coordinates:
Cu 0.0000 0.0000 0.0000
Bi 0.5000 0.0000 0.5000
W 0.2498 0.5148 0.8379
O 0.0017 0.7313 0.4213
O 0.0322 0.7011 0.9752
O 0.4726 0.3115 0.8354
O 0.4846 0.7482 0.7264